Computed, not measured: an optimized crystal structure of Tc2RhW at the GGA-PBEsol level of DFT.

a b c (Å): 6.140 6.140 6.140
angles (deg): 90.00 90.00 90.00
Space group F-43m (No. 216)
Inequivalent atoms, fractional coordinates:
1 Tc 0.000 0.000 0.000 x4
2 Tc 0.250 0.250 0.250 x4
3 Rh 0.250 0.250 0.750 x4
4 W 0.000 0.000 0.500 x4

Computed, not measured: an optimized crystal structure of TcRh2W at the GGA-PBEsol level of DFT.

a b c (Å): 3.798 3.798 7.765
angles (deg): 90.00 90.00 90.00
Space group I4/mmm (No. 139)
Inequivalent atoms, fractional coordinates:
1 Tc 0.000 0.000 0.000 x2
2 Rh 0.000 0.500 0.250 x4
3 W 0.000 0.000 0.500 x2

| no. | E above lowest polymorph (meV per atom) |
| --- | --- |
| 1 | 366 |
| 2 | 43 |